Here is a geometry-optimized Sc2H4S structure from the Alexandria database. Energies are from PBE-GGA.

Properties
DOS at the Fermi energy (states/eV per atom): 0.05
Final energy (eV per cell): -109.3

abc: 3.4308 3.4308 19.6624
angles: 90.00 90.00 120.00
Space group R-3m (No. 166, hexagonal axes)
Symmetry-distinct sites (fractional):
Sc (0.0000, 0.0000, 0.2427) (multiplicity 6)
H (0.0000, 0.0000, 0.1380) (multiplicity 6)
H (0.0000, 0.0000, 0.4345) (multiplicity 6)
S (0.0000, 0.0000, 0.0000) (multiplicity 3)